{
  "formula": "Li2PuUN4",
  "functional": "PBE",
  "state": "optimized geometry",
  "lattice": [[-2.167, 2.167, 5.601], [2.167, -2.167, 5.601], [2.167, 2.167, -5.601]],
  "species": ["Li", "Li", "Pu", "U", "N", "N", "N", "N"],
  "frac_coords": [[0.000, 0.000, 0.000], [0.750, 0.250, 0.500], [0.500, 0.500, 0.000], [0.250, 0.750, 0.500], [0.051, 0.551, 0.500], [0.285, 0.285, 0.000], [0.449, 0.949, 0.500], [0.715, 0.715, 0.000]],
  "magmom_total_mub_per_atom": 0.500,
  "formation_energy_uncorrected_ev_per_atom": -1.132,
  "energy_ev_per_atom": -8.98,
  "sg": "No. 119",
  "vol_a3_per_cell": 105.2
}


{
  "formula": "La2Sm6In",
  "functional": "PBE",
  "state": "optimized geometry",
  "lattice": [[10.019, 0.000, 0.000], [0.000, 10.566, 0.000], [0.000, 0.000, 5.669]],
  "species": ["La", "La", "La", "La", "Sm", "Sm", "Sm", "Sm", "Sm", "Sm", "Sm", "Sm", "Sm", "Sm", "Sm", "Sm", "In", "In"],
  "frac_coords": [[0.191, 0.249, 0.000], [0.309, 0.749, 0.500], [0.691, 0.251, 0.500], [0.809, 0.751, 0.000], [0.017, 0.184, 0.500], [0.139, 0.602, 0.000], [0.181, 0.925, 0.000], [0.319, 0.425, 0.500], [0.361, 0.102, 0.500], [0.483, 0.684, 0.000], [0.517, 0.316, 0.000], [0.639, 0.898, 0.500], [0.681, 0.575, 0.500], [0.819, 0.075, 0.000], [0.861, 0.398, 0.000], [0.983, 0.816, 0.500], [0.000, 0.500, 0.500], [0.500, 0.000, 0.000]],
  "magmom_total_mub_per_atom": 0.000,
  "ef_ev_per_atom": -0.04,
  "energy_ev_per_atom": -4.58,
  "sg": "No. 58",
  "vol_a3_per_cell": 600.2
}